# 1
This record from Alexandria via LeMat-Bulk describes a relaxed Ca2MgCo crystal. The functional is PBE-GGA.

a = 4.5705 Å, b = 4.5705 Å, c = 9.4688 Å
α = 90.00°, β = 90.00°, γ = 90.00°
Last column: nearest neighbours and their distance in Å.
Space group I-4m2 (No. 119)
Symmetry-distinct sites (fractional):
Ca: 0.0000 0.0000 0.0000  4 Mg 3.23, 4 Co 3.29, 4 Ca 3.29
Ca: 0.0000 0.5000 0.2500  4 Co 3.23, 4 Mg 3.29, 4 Ca 3.29
Mg: 0.0000 0.0000 0.5000  8 Ca 3.23-3.29, 4 Co 3.29
Co: 0.0000 0.5000 0.7500  8 Ca 3.23-3.29, 4 Mg 3.29

---

# 2
This record from Alexandria via LeMat-Bulk describes a relaxed Ca2MgCo crystal. The functional is PBE-GGA.

a = 9.8398 Å, b = 9.8398 Å, c = 5.0340 Å
α = 90.00°, β = 90.00°, γ = 90.00°
Last column: nearest neighbours and their distance in Å.
Space group I-42d (No. 122)
Symmetry-distinct sites (fractional):
Ca: 0.0983 0.2500 0.1250  2 Co 2.72
Mg: 0.0000 0.0000 0.5000  2 Co 2.52
Co: 0.0000 0.0000 0.0000  2 Mg 2.52, 4 Ca 2.72

---

# 3
This record from Alexandria via LeMat-Bulk describes a relaxed CaMgCo crystal. The functional is PBE-GGA.

a = 6.5550 Å, b = 6.5550 Å, c = 6.5550 Å
α = 90.00°, β = 90.00°, γ = 90.00°
Last column: nearest neighbours and their distance in Å.
Space group F-43m (No. 216)
Symmetry-distinct sites (fractional):
Ca: 0.0000 0.0000 0.0000  4 Co 2.84
Mg: 0.0000 0.0000 0.5000  4 Co 2.84
Co: 0.2500 0.2500 0.7500  4 Mg 2.84, 4 Ca 2.84

---

# 4
This record from Alexandria via LeMat-Bulk describes a relaxed CaMg2Co crystal. The functional is PBE-GGA.

a = 3.3170 Å, b = 3.3170 Å, c = 7.7590 Å
α = 90.00°, β = 90.00°, γ = 90.00°
Last column: nearest neighbours and their distance in Å.
Space group P4/mmm (No. 123)
Symmetry-distinct sites (fractional):
Ca: 0.0000 0.0000 0.0000  4 Ca 3.32, 8 Mg 3.42
Mg: 0.5000 0.5000 0.3209  4 Co 2.73, 1 Mg 2.78
Co: 0.0000 0.0000 0.5000  8 Mg 2.73

---

Number 1: E_tot -2.84 eV per atom, total magnetic moment 0.215 μB per atom. Number 2: E_tot -2.84 eV per atom, total magnetic moment 0.000 μB per atom. Number 3: E_tot -3.17 eV per atom, total magnetic moment 0.219 μB per atom. Number 4: E_tot -2.92 eV per atom, total magnetic moment 0.202 μB per atom.